(1)
This record from OQMD via LeMat-Bulk describes a relaxed GdMg2 crystal. The functional is GGA-PBE.

- E: -2.602 eV per atom

The structure in extended XYZ format:
```
12
Lattice="-1.354 -14.484 9.431 2.898 -1.074 -1.233 2.659 2.438 4.125" Properties=species:S:1:pos:R:3 pbc="T T T"
Mg 2.398 -3.392 4.099
Mg 1.503 -12.968 10.334
Mg 1.228 -2.901 0.923
Mg 0.272 -10.096 9.430
Gd 1.173 -0.454 3.152
Mg 0.769 -7.808 4.118
Gd 1.945 -8.232 7.250
Gd -0.445 -4.765 3.103
Mg -0.003 -0.029 0.019
Mg 0.731 -5.189 6.235
Mg -0.898 -9.605 6.254
Gd 0.327 -12.543 7.201
```



(2)
This record from OQMD via LeMat-Bulk describes a relaxed GdMg2 crystal. The functional is GGA-PBE.

- E: -2.626 eV per atom

The structure in extended XYZ format:
```
12
Lattice="-11.817 5.304 6.838 0.795 -2.457 3.279 2.884 3.726 2.093" Properties=species:S:1:pos:R:3 pbc="T T T"
Gd -1.783 2.260 4.782
Mg -5.099 1.238 4.820
Mg -9.229 3.092 7.210
Gd -8.087 6.140 6.560
Mg -9.734 5.829 9.383
Mg -5.602 3.974 6.992
Mg -4.222 4.405 4.324
Gd -7.538 3.383 4.362
Gd -1.235 -0.496 2.584
Mg -11.404 5.119 6.599
Mg -0.092 2.552 1.934
Mg -3.720 1.669 2.152
```



The lowest E belongs to which entry?
number 2



E of number 1 (GdMg2)?
-2.602 eV per atom



Which of these has the lowest E?
number 2



Among the records above, which one has the lowest E?
number 2